# SnIrBr2

A geometry-optimized SnIrBr2 structure (GGA-PBE, the Alexandria database).

Geometry as CIF:
```
data_SnIrBr2
_chemical_formula_sum 'Sn4 Ir4 Br8'
_cell_length_a 7.1223
_cell_length_b 7.1223
_cell_length_c 7.1223
_cell_angle_alpha 90.00
_cell_angle_beta 90.00
_cell_angle_gamma 90.00
_space_group_name_H-M_alt 'F m -3 m'
_space_group_IT_number 225
_space_group_name_Hall '-F 4 2 3'
loop_
_atom_site_label
_atom_site_type_symbol
_atom_site_fract_x
_atom_site_fract_y
_atom_site_fract_z
Sn1 Sn 0.0000 0.0000 0.0000
Ir1 Ir 0.0000 0.0000 0.5000
Br1 Br 0.2500 0.2500 0.2500
```

Output
Crystal system ... cubic
ΔE to the lowest computed polymorph ... 201 meV per atom
Size of the total moment ... 5.05 μB/cell
Uncorrected energy ... -3.3040 eV/atom